No. 1
# La2Cd16Hg (PBE-GGA, optimized geometry)
# DOS(E_F) = 13.4 states/eV per cell
data_La2Cd16Hg
_chemical_formula_sum 'La6 Cd48 Hg3'
_cell_length_a 10.1778
_cell_length_b 10.1778
_cell_length_c 15.0046
_cell_angle_alpha 90.00
_cell_angle_beta 90.00
_cell_angle_gamma 120.00
_space_group_name_H-M_alt 'R 3 m'
_space_group_IT_number 160
_space_group_name_Hall 'R 3 -2"'
loop_
_atom_site_label
_atom_site_fract_x
_atom_site_fract_y
_atom_site_fract_z
La1 0.0000 0.0000 0.0000
La2 0.0000 0.0000 0.3366
Cd1 0.0000 0.0000 0.5724
Cd2 0.0005 0.2993 0.6682
Cd3 0.0051 0.5025 0.1675
Cd4 0.0137 0.5068 0.8166
Cd5 0.1744 0.3487 0.8536
Hg1 0.0000 0.0000 0.7770

=====

No. 2
# HoPu3Tl4 (PBE-GGA, optimized geometry)
# DOS(E_F) = 21.3 states/eV per cell
data_HoPu3Tl4
_chemical_formula_sum 'Ho1 Pu3 Tl4'
_cell_length_a 3.354
_cell_length_b 3.354
_cell_length_c 19.089
_cell_angle_alpha 90.00
_cell_angle_beta 90.00
_cell_angle_gamma 90.00
_space_group_name_H-M_alt 'P 4/m m m'
_space_group_IT_number 123
_space_group_name_Hall '-P 4 2'
loop_
_atom_site_label
_atom_site_fract_x
_atom_site_fract_y
_atom_site_fract_z
Ho1 0.000 0.000 0.000
Pu1 0.000 0.000 0.247
Pu2 0.000 0.000 0.500
Tl1 0.500 0.500 0.121
Tl2 0.500 0.500 0.373

=====

No. 3
# Ca12Al14O33 (PBE-GGA, optimized geometry)
# uncorrected formation energy = -3.05 eV per atom
# DOS(E_F) = 0.0 states/eV per cell
data_Ca12Al14O33
_chemical_formula_sum 'Ca24 Al28 O66'
_cell_length_a 12.117
_cell_length_b 12.117
_cell_length_c 12.015
_cell_angle_alpha 90.00
_cell_angle_beta 90.00
_cell_angle_gamma 90.00
_space_group_name_H-M_alt 'I -4'
_space_group_IT_number 82
_space_group_name_Hall 'I -4'
loop_
_atom_site_label
_atom_site_fract_x
_atom_site_fract_y
_atom_site_fract_z
Ca1 0.000 0.000 0.177
Ca2 0.000 0.500 0.514
Ca3 0.112 0.753 0.377
Ca4 0.135 0.247 0.877
Al1 0.000 0.000 0.500
Al2 0.000 0.500 0.250
Al3 0.017 0.231 0.643
Al4 0.018 0.270 0.107
Al5 0.126 0.750 0.874
O1 0.000 0.000 0.000
O2 0.035 0.808 0.777
O3 0.037 0.692 0.975
O4 0.058 0.403 0.159
O5 0.060 0.107 0.579
O6 0.067 0.682 0.563
O7 0.070 0.806 0.193
O8 0.148 0.288 0.684
O9 0.153 0.220 0.073

=====

We obtain final energy values of -1.492, -7.229, -7.116 eV/atom for the records listed above, in that order.